A plane-wave DFT calculation with PBE was carried out for Ba3Os2O8 after structural relaxation. Values from VASP.

Calculated values
E_form (uncorrected) = -22.1 eV/f.u.
Raw total energy = -6.9191 eV/atom
SG = R-3m, No. 166
M_tot = 0.00 μB/cell

Structure (Quantum ESPRESSO input):
```
&SYSTEM
  ibrav = 0, nat = 13, ntyp = 3
/
ATOMIC_SPECIES
Ba 137.33 Ba.upf
Os 190.23 Os.upf
O 16.00 O.upf
ATOMIC_POSITIONS crystal
Ba 0.0000 0.0000 0.0000
Ba 0.2171 0.2171 0.3486
Ba 0.7829 0.7829 0.6514
Os 0.4398 0.4398 0.6806
Os 0.5602 0.5602 0.3194
O 0.3399 0.3399 0.9802
O 0.6601 0.6601 0.0198
O 0.2682 0.7802 0.6834
O 0.7802 0.2682 0.6834
O 0.2682 0.2682 0.6834
O 0.2198 0.7318 0.3166
O 0.7318 0.2198 0.3166
O 0.7318 0.7318 0.3166
CELL_PARAMETERS angstrom
-0.0580 -0.8379 6.1894
2.7914 -4.9965 2.5014
6.6811 1.5420 3.4231
```